Below is a relaxed AcErV2O8 crystal, with properties calculated at the PBE with a Hubbard U level.

Cell lengths 5.707, 5.707, 7.223 Å; angles 90.00, 90.00, 120.00 degrees
Atoms (fractional coordinates):
Ac 0.000 0.000 0.000
Er 0.000 0.000 0.500
V 0.333 0.667 0.784
V 0.667 0.333 0.216
O 0.163 0.326 0.713
O 0.163 0.837 0.713
O 0.326 0.163 0.287
O 0.333 0.667 0.017
O 0.667 0.333 0.983
O 0.674 0.837 0.713
O 0.837 0.163 0.287
O 0.837 0.674 0.287

Values from the calculation:
Its uncorrected energy is -7.95 eV per atom. As for the space-group type: P-3m1, No. 164.